The following is a DFT calculation (PBE) of a geometry-optimized Cu2NiAu structure.

For the volume, the calculation gives 53 Å³/cell. Its density of states at the Fermi level is 2.89 states/eV/cell. The value obtained for the formation energy is 0.018 eV/atom. For the total magnetic moment, the calculation gives 0.0 μB/f.u.

```
data_Cu2NiAu
_cell_length_a 2.765
_cell_length_b 3.451
_cell_length_c 5.545
_cell_angle_alpha 90.00
_cell_angle_beta 90.00
_cell_angle_gamma 90.00
_space_group_name_H-M_alt 'P m m m'
_space_group_IT_number 47
loop_
_space_group_symop_operation_xyz
'x,y,z'
'-x,-y,-z'
'-x,-y,z'
'x,y,-z'
'x,-y,-z'
'-x,y,z'
'-x,y,-z'
'x,-y,z'
loop_
_atom_site_label
_atom_site_type_symbol
_atom_site_fract_x
_atom_site_fract_y
_atom_site_fract_z
Cu1 Cu 0.000 0.000 0.223
Ni1 Ni 0.500 0.500 0.000
Au1 Au 0.500 0.500 0.500
```



The following is a DFT calculation (PBE) of a geometry-optimized Cu5Ni2Au4 structure.

For the volume, the calculation gives 157 Å³/cell. Its density of states at the Fermi level is 6.15 states/eV/cell. The value obtained for the formation energy is 0.061 eV/atom. For the total magnetic moment, the calculation gives 0.0 μB/f.u.

```
data_Cu5Ni2Au4
_cell_length_a 6.640
_cell_length_b 2.764
_cell_length_c 8.594
_cell_angle_alpha 90.00
_cell_angle_beta 93.96
_cell_angle_gamma 90.00
_space_group_name_H-M_alt 'P 1 2/m 1'
_space_group_IT_number 10
loop_
_space_group_symop_operation_xyz
'x,y,z'
'-x,-y,-z'
'-x,y,-z'
'x,-y,z'
loop_
_atom_site_label
_atom_site_type_symbol
_atom_site_fract_x
_atom_site_fract_y
_atom_site_fract_z
Cu1 Cu 0.000 0.000 0.000
Cu2 Cu 0.069 0.000 0.292
Cu3 Cu 0.303 0.000 0.834
Ni1 Ni 0.439 0.000 0.365
Au1 Au 0.214 0.500 0.563
Au2 Au 0.327 0.500 0.108
```



The following is a DFT calculation (PBE) of a geometry-optimized Cu12NiAu3 structure.

For the volume, the calculation gives 209 Å³/cell. Its density of states at the Fermi level is 5.25 states/eV/cell. The value obtained for the formation energy is -0.026 eV/atom. For the total magnetic moment, the calculation gives 0.0 μB/f.u.

```
data_Cu12NiAu3
_cell_length_a 3.730
_cell_length_b 3.730
_cell_length_c 15.018
_cell_angle_alpha 90.00
_cell_angle_beta 90.00
_cell_angle_gamma 90.00
_space_group_name_H-M_alt 'P 4/m m m'
_space_group_IT_number 123
_space_group_name_Hall '-P 4 2'
loop_
_atom_site_label
_atom_site_type_symbol
_atom_site_fract_x
_atom_site_fract_y
_atom_site_fract_z
Cu1 Cu 0.000 0.000 0.000
Cu2 Cu 0.000 0.000 0.242
Cu3 Cu 0.000 0.000 0.500
Cu4 Cu 0.000 0.500 0.114
Cu5 Cu 0.000 0.500 0.371
Ni1 Ni 0.500 0.500 0.000
Au1 Au 0.500 0.500 0.243
Au2 Au 0.500 0.500 0.500
```



The following is a DFT calculation (PBE) of a geometry-optimized CuNi2Au structure.

For the volume, the calculation gives 104 Å³/cell. Its density of states at the Fermi level is 10.49 states/eV/cell. The value obtained for the formation energy is 0.099 eV/atom. For the total magnetic moment, the calculation gives 0.7 μB/f.u.

```
data_CuNi2Au
_cell_length_a 8.678
_cell_length_b 2.692
_cell_length_c 4.549
_cell_angle_alpha 90.00
_cell_angle_beta 100.82
_cell_angle_gamma 90.00
_space_group_name_H-M_alt 'C 1 2/m 1'
_space_group_IT_number 12
loop_
_space_group_symop_operation_xyz
'x,y,z'
'-x,-y,-z'
'-x,y,-z'
'x,-y,z'
'x+1/2,y+1/2,z'
'-x+1/2,-y+1/2,-z'
'-x+1/2,y+1/2,-z'
'x+1/2,-y+1/2,z'
loop_
_atom_site_label
_atom_site_type_symbol
_atom_site_fract_x
_atom_site_fract_y
_atom_site_fract_z
Cu1 Cu 0.000 0.000 0.000
Ni1 Ni 0.246 0.500 0.233
Au1 Au 0.000 0.500 0.500
```



The following is a DFT calculation (PBE) of a geometry-optimized Cu3NiAu4 structure.

For the volume, the calculation gives 119 Å³/cell. Its density of states at the Fermi level is 4.17 states/eV/cell. The value obtained for the formation energy is -0.007 eV/atom. For the total magnetic moment, the calculation gives 0.0 μB/f.u.

```
data_Cu3NiAu4
_cell_length_a 3.536
_cell_length_b 4.108
_cell_length_c 8.222
_cell_angle_alpha 90.00
_cell_angle_beta 90.00
_cell_angle_gamma 90.00
_space_group_name_H-M_alt 'P m m m'
_space_group_IT_number 47
loop_
_space_group_symop_operation_xyz
'x,y,z'
'-x,-y,-z'
'-x,-y,z'
'x,y,-z'
'x,-y,-z'
'-x,y,z'
'-x,y,-z'
'x,-y,z'
loop_
_atom_site_label
_atom_site_type_symbol
_atom_site_fract_x
_atom_site_fract_y
_atom_site_fract_z
Cu1 Cu 0.000 0.000 0.000
Cu2 Cu 0.000 0.500 0.253
Ni1 Ni 0.000 0.000 0.500
Au1 Au 0.500 0.000 0.252
Au2 Au 0.500 0.500 0.000
Au3 Au 0.500 0.500 0.500
```



The following is a DFT calculation (PBE) of a geometry-optimized Cu2NiAu2 structure.

For the volume, the calculation gives 155 Å³/cell. Its density of states at the Fermi level is 4.83 states/eV/cell. The value obtained for the formation energy is 0.248 eV/atom. The calculation puts the offset from the most stable computed form at 1.13 eV per formula unit. For the total magnetic moment, the calculation gives 0.0 μB/f.u.

```
data_Cu2NiAu2
_cell_length_a 6.845
_cell_length_b 6.845
_cell_length_c 3.318
_cell_angle_alpha 90.00
_cell_angle_beta 90.00
_cell_angle_gamma 90.00
_space_group_name_H-M_alt 'P 4/m b m'
_space_group_IT_number 127
_space_group_name_Hall '-P 4 2ab'
loop_
_atom_site_label
_atom_site_type_symbol
_atom_site_fract_x
_atom_site_fract_y
_atom_site_fract_z
Cu1 Cu 0.155 0.345 0.000
Ni1 Ni 0.000 0.000 0.500
Au1 Au 0.146 0.646 0.500
```



The following is a DFT calculation (PBE) of a geometry-optimized CuNi2Au structure.

For the volume, the calculation gives 209 Å³/cell. Its density of states at the Fermi level is 24.43 states/eV/cell. The value obtained for the formation energy is 0.129 eV/atom. For the total magnetic moment, the calculation gives 0.8 μB/f.u.

```
data_CuNi2Au
_cell_length_a 5.933
_cell_length_b 5.933
_cell_length_c 5.933
_cell_angle_alpha 90.00
_cell_angle_beta 90.00
_cell_angle_gamma 90.00
_space_group_name_H-M_alt 'F -4 3 m'
_space_group_IT_number 216
_space_group_name_Hall 'F -4 2 3'
loop_
_atom_site_label
_atom_site_type_symbol
_atom_site_fract_x
_atom_site_fract_y
_atom_site_fract_z
Cu1 Cu 0.000 0.000 0.000
Ni1 Ni 0.000 0.000 0.500
Ni2 Ni 0.250 0.250 0.250
Au1 Au 0.250 0.250 0.750
```



The following is a DFT calculation (PBE) of a geometry-optimized Cu6NiAu12 structure.

For the volume, the calculation gives 984 Å³/cell. Its density of states at the Fermi level is 22.24 states/eV/cell. The value obtained for the formation energy is 0.142 eV/atom. The calculation puts the offset from the most stable computed form at 2.66 eV per formula unit. For the total magnetic moment, the calculation gives 0.0 μB/f.u.

```
data_Cu6NiAu12
_cell_length_a 11.3767
_cell_length_b 11.3767
_cell_length_c 8.7798
_cell_angle_alpha 90.00
_cell_angle_beta 90.00
_cell_angle_gamma 120.00
_space_group_name_H-M_alt 'R -3'
_space_group_IT_number 148
_space_group_name_Hall '-R 3'
loop_
_atom_site_label
_atom_site_type_symbol
_atom_site_fract_x
_atom_site_fract_y
_atom_site_fract_z
Cu1 Cu 0.0320 0.1383 0.2158
Ni1 Ni 0.0000 0.0000 0.5000
Au1 Au 0.0659 0.4751 0.1322
Au2 Au 0.0686 0.4764 0.6152
```



The following is a DFT calculation (PBE) of a geometry-optimized CuNiAu6 structure.

For the volume, the calculation gives 263 Å³/cell. Its density of states at the Fermi level is 5.88 states/eV/cell. The value obtained for the formation energy is 0.006 eV/atom. For the total magnetic moment, the calculation gives 0.0 μB/f.u.

```
data_CuNiAu6
_cell_length_a 4.213
_cell_length_b 4.213
_cell_length_c 14.826
_cell_angle_alpha 90.00
_cell_angle_beta 90.00
_cell_angle_gamma 90.00
_space_group_name_H-M_alt 'I 4/m m m'
_space_group_IT_number 139
_space_group_name_Hall '-I 4 2'
loop_
_atom_site_label
_atom_site_type_symbol
_atom_site_fract_x
_atom_site_fract_y
_atom_site_fract_z
Cu1 Cu 0.000 0.000 0.000
Ni1 Ni 0.000 0.000 0.500
Au1 Au 0.000 0.000 0.251
Au2 Au 0.000 0.500 0.112
```



The following is a DFT calculation (PBE) of a geometry-optimized CuNiAu2 structure.

For the volume, the calculation gives 119 Å³/cell. Its density of states at the Fermi level is 4.94 states/eV/cell. The value obtained for the formation energy is 0.049 eV/atom. For the total magnetic moment, the calculation gives 0.0 μB/f.u.

```
data_CuNiAu2
_cell_length_a 3.839
_cell_length_b 3.839
_cell_length_c 8.054
_cell_angle_alpha 90.00
_cell_angle_beta 90.00
_cell_angle_gamma 90.00
_space_group_name_H-M_alt 'I -4 m 2'
_space_group_IT_number 119
_space_group_name_Hall 'I -4 -2'
loop_
_atom_site_label
_atom_site_type_symbol
_atom_site_fract_x
_atom_site_fract_y
_atom_site_fract_z
Cu1 Cu 0.000 0.000 0.000
Ni1 Ni 0.000 0.500 0.750
Au1 Au 0.000 0.000 0.500
Au2 Au 0.000 0.500 0.250
```



The following is a DFT calculation (PBE) of a geometry-optimized Cu2NiAu structure.

For the volume, the calculation gives 107 Å³/cell. Its density of states at the Fermi level is 5.08 states/eV/cell. The value obtained for the formation energy is 0.059 eV/atom. For the total magnetic moment, the calculation gives 0.0 μB/f.u.

```
data_Cu2NiAu
_cell_length_a 5.381
_cell_length_b 7.160
_cell_length_c 2.771
_cell_angle_alpha 90.00
_cell_angle_beta 90.00
_cell_angle_gamma 90.00
_space_group_name_H-M_alt 'C m m m'
_space_group_IT_number 65
_space_group_name_Hall '-C 2 2'
loop_
_atom_site_label
_atom_site_type_symbol
_atom_site_fract_x
_atom_site_fract_y
_atom_site_fract_z
Cu1 Cu 0.250 0.250 0.000
Ni1 Ni 0.000 0.000 0.500
Au1 Au 0.000 0.500 0.500
```



The following is a DFT calculation (PBE) of a geometry-optimized CuNiAu4 structure.

For the volume, the calculation gives 97 Å³/cell. Its density of states at the Fermi level is 3.44 states/eV/cell. The value obtained for the formation energy is 0.058 eV/atom. The calculation puts the offset from the most stable computed form at 0.00 eV per formula unit. For the total magnetic moment, the calculation gives 0.0 μB/f.u.

```
data_CuNiAu4
_cell_length_a 2.893
_cell_length_b 4.997
_cell_length_c 7.269
_cell_angle_alpha 109.95
_cell_angle_beta 100.94
_cell_angle_gamma 90.09
_space_group_name_H-M_alt 'P -1'
_space_group_IT_number 2
loop_
_space_group_symop_operation_xyz
'x,y,z'
'-x,-y,-z'
loop_
_atom_site_label
_atom_site_type_symbol
_atom_site_fract_x
_atom_site_fract_y
_atom_site_fract_z
Cu1 Cu 0.000 0.000 0.000
Ni1 Ni 0.500 0.500 0.000
Au1 Au 0.155 0.822 0.313
Au2 Au 0.345 0.676 0.686
```



> Which of these has the highest total magnetic moment?

number 7